[1]
HfPt3F after structural relaxation. Source: Alexandria via LeMat-Bulk, functional PBE.

* energy relative to the elements, uncorrected: 0.72 eV/atom
* ΔE to the lowest computed polymorph: 650 meV/atom
* raw total energy: -0.387 Ry per atom

a b c (Å): 4.952 4.952 4.952
angles (deg): 90.00 90.00 90.00
Fractional positions:
Hf  0.000  0.000  0.000
Pt  0.000  0.000  0.500
Pt  0.000  0.500  0.000
Pt  0.500  0.000  0.000
F  0.500  0.500  0.500

[2]
BaCaDy after structural relaxation. Source: Alexandria via LeMat-Bulk, functional PBE.

* ΔE to the lowest computed polymorph: 8 meV/atom
* raw total energy: -0.195 Ry per atom

a b c (Å): 8.806 8.806 8.806
angles (deg): 154.22 154.22 36.78
Fractional positions:
Ba  0.000  0.000  0.000
Ca  0.688  0.688  0.000
Dy  0.333  0.333  0.000

[3]
NaLiGaSi after structural relaxation. Source: Alexandria via LeMat-Bulk, functional PBE.

* energy relative to the elements, uncorrected: -0.05 eV/atom
* ΔE to the lowest computed polymorph: 0 meV/atom
* raw total energy: -0.218 Ry per atom

a b c (Å): 4.170 4.170 6.003
angles (deg): 110.08 110.08 59.97
Fractional positions:
Na  0.000  0.000  0.000
Li  0.210  0.210  0.632
Ga  0.491  0.491  0.474
Si  0.787  0.787  0.359

[4]
K2NaCd9 after structural relaxation. Source: Alexandria via LeMat-Bulk, functional PBE.

* raw total energy: -0.076 Ry per atom

a b c (Å): 10.650 10.650 10.650
angles (deg): 33.99 33.99 33.99
Fractional positions:
K  0.143  0.143  0.143
K  0.857  0.857  0.857
Na  0.000  0.000  0.000
Cd  0.077  0.585  0.585
Cd  0.334  0.334  0.334
Cd  0.415  0.415  0.923
Cd  0.415  0.923  0.415
Cd  0.500  0.500  0.500
Cd  0.585  0.077  0.585
Cd  0.585  0.585  0.077
Cd  0.666  0.666  0.666
Cd  0.923  0.415  0.415

[5]
K2Zn3In6 after structural relaxation. Source: Alexandria via LeMat-Bulk, functional PBE.

* raw total energy: -0.155 Ry per atom

a b c (Å): 8.690 8.690 4.600
angles (deg): 90.00 90.00 120.00
Fractional positions:
K  0.333  0.667  0.000
K  0.667  0.333  0.000
Zn  0.000  0.630  0.500
Zn  0.370  0.370  0.500
Zn  0.630  0.000  0.500
In  0.000  0.309  0.500
In  0.000  0.799  0.000
In  0.201  0.201  0.000
In  0.309  0.000  0.500
In  0.691  0.691  0.500
In  0.799  0.000  0.000

[6]
In2Ga2Au3 after structural relaxation. Source: Alexandria via LeMat-Bulk, functional PBE.

* raw total energy: -0.236 Ry per atom

a b c (Å): 6.541 6.541 6.751
angles (deg): 114.82 114.82 35.17
Fractional positions:
In  0.091  0.091  0.344
In  0.909  0.909  0.656
Ga  0.272  0.272  0.865
Ga  0.728  0.728  0.135
Au  0.379  0.379  0.319
Au  0.500  0.500  0.000
Au  0.621  0.621  0.681